# 1
First-principles (GGA-PBE) data for a relaxed ErMn6Sn6 crystal, as listed in Alexandria.

The structure belongs to space group P6/mmm (No. 191); the cell edges are 5.4420, 5.4420 and 8.9559 Å and the angles 90.00°, 90.00° and 120.00°. The distinct sites, in fractional coordinates, are Er at (0.0000, 0.0000, 0.0000), Mn at (0.0000, 0.5000, 0.2482), Sn at (0.0000, 0.0000, 0.3329), Sn at (0.3333, 0.6667, 0.0000) and Sn at (0.3333, 0.6667, 0.5000).

As for the total magnetization: 12.80 μB per formula unit. As for the calculated volume: 229.7 Å³/cell. The formation energy from the elements comes out at -0.131 eV/atom.



# 2
First-principles (GGA-PBE) data for a relaxed ErMnSn2 crystal, as listed in Alexandria.

The structure belongs to space group P4/mmm (No. 123); the cell edges are 4.5525, 4.5525 and 4.3442 Å and the angles 90.00°, 90.00° and 90.00°. The distinct sites, in fractional coordinates, are Er at (0.0000, 0.0000, 0.0000), Mn at (0.5000, 0.5000, 0.0000) and Sn at (0.0000, 0.5000, 0.5000).

As for the total magnetization: 3.82 μB per formula unit. As for the calculated volume: 90.0 Å³/cell. The formation energy from the elements comes out at -0.217 eV/atom.



# 3
First-principles (GGA-PBE) data for a relaxed ErMnSn2 crystal, as listed in Alexandria.

The structure belongs to space group R-3m (No. 166, hexagonal axes); the cell edges are 4.4655, 4.4655 and 16.0329 Å and the angles 90.00°, 90.00° and 120.00°. The distinct sites, in fractional coordinates, are Er at (0.0000, 0.0000, 0.0000), Mn at (0.0000, 0.0000, 0.5000) and Sn at (0.0000, 0.0000, 0.2287).

As for the total magnetization: 2.93 μB per formula unit. As for the calculated volume: 276.9 Å³/cell. The formation energy from the elements comes out at -0.234 eV/atom.



# 4
First-principles (GGA-PBE) data for a relaxed SrEr3Mn crystal, as listed in Alexandria.

The structure belongs to space group Pm-3m (No. 221); the cell edges are 5.3664, 5.3664 and 5.3664 Å and the angles 90.00°, 90.00° and 90.00°. The distinct sites, in fractional coordinates, are Sr at (0.0000, 0.0000, 0.0000), Er at (0.0000, 0.5000, 0.5000) and Mn at (0.5000, 0.5000, 0.5000).

As for the total magnetization: 0.87 μB per formula unit. As for the calculated volume: 154.5 Å³/cell. The formation energy from the elements comes out at 0.185 eV/atom.



# 5
First-principles (GGA-PBE) data for a relaxed ErTaMn4 crystal, as listed in Alexandria.

The structure belongs to space group F-43m (No. 216); the cell edges are 7.0023, 7.0023 and 7.0023 Å and the angles 90.00°, 90.00° and 90.00°. The distinct sites, in fractional coordinates, are Er at (0.0000, 0.0000, 0.0000), Ta at (0.2500, 0.2500, 0.2500) and Mn at (0.1244, 0.1244, 0.6244).

As for the total magnetization: 3.09 μB per formula unit. As for the calculated volume: 343.3 Å³/cell. The formation energy from the elements comes out at -0.010 eV/atom.



# 6
First-principles (GGA-PBE) data for a relaxed TbErMn crystal, as listed in Alexandria.

The structure belongs to space group I4mm (No. 107); the cell edges are 3.4711, 3.4711 and 12.6241 Å and the angles 90.00°, 90.00° and 90.00°. The distinct sites, in fractional coordinates, are Tb at (0.0000, 0.0000, 0.0000), Er at (0.0000, 0.0000, 0.2733) and Mn at (0.0000, 0.0000, 0.6388).

The polymorph energy (0 for the lowest one) comes out at 0.0 meV per atom. As for the total magnetization: 2.67 μB per formula unit. As for the calculated volume: 152.1 Å³/cell. The formation energy from the elements comes out at 0.143 eV/atom.



# 7
First-principles (GGA-PBE) data for a relaxed TbErMn17 crystal, as listed in Alexandria.

The structure belongs to space group R3m (No. 160, hexagonal axes); the cell edges are 8.6337, 8.6337 and 11.6308 Å and the angles 90.00°, 90.00° and 120.00°. The distinct sites, in fractional coordinates, are Tb at (0.0000, 0.0000, 0.0000), Er at (0.0000, 0.0000, 0.2900), Mn at (0.0000, 0.0000, 0.5446), Mn at (0.0000, 0.0000, 0.7439), Mn at (0.9998, 0.2753, 0.6442), Mn at (0.0003, 0.5002, 0.1441), Mn at (0.0135, 0.5067, 0.5073) and Mn at (0.1738, 0.3476, 0.1152).

As for the total magnetization: 4.20 μB per formula unit. As for the calculated volume: 750.8 Å³/cell. The formation energy from the elements comes out at -0.002 eV/atom.



# 8
First-principles (GGA-PBE) data for a relaxed TbErMn crystal, as listed in Alexandria.

The structure belongs to space group C2/m (No. 12); the cell edges are 10.2355, 3.3915 and 8.9942 Å and the angles 90.00°, 101.38° and 90.00°. The distinct sites, in fractional coordinates, are Tb at (0.1549, 0.0000, 0.1054), Er at (0.0817, 0.0000, 0.6801) and Mn at (0.2199, 0.0000, 0.4328).

The polymorph energy (0 for the lowest one) comes out at 231.9 meV per atom. As for the total magnetization: 0.00 μB per formula unit. As for the calculated volume: 306.1 Å³/cell. The formation energy from the elements comes out at 0.375 eV/atom.



# 9
First-principles (GGA-PBE) data for a relaxed TbErMnZn crystal, as listed in Alexandria.

The structure belongs to space group F-43m (No. 216); the cell edges are 7.0650, 7.0650 and 7.0650 Å and the angles 90.00°, 90.00° and 90.00°. The distinct sites, in fractional coordinates, are Tb at (0.0000, 0.0000, 0.0000), Er at (0.0000, 0.0000, 0.5000), Mn at (0.2500, 0.2500, 0.2500) and Zn at (0.2500, 0.2500, 0.7500).

As for the total magnetization: 2.86 μB per formula unit. As for the calculated volume: 352.6 Å³/cell. The formation energy from the elements comes out at -0.049 eV/atom.



# 10
First-principles (GGA-PBE) data for a relaxed Er2MnTc3 crystal, as listed in Alexandria.

The structure belongs to space group R-3m (No. 166, hexagonal axes); the cell edges are 5.2635, 5.2635 and 13.5768 Å and the angles 90.00°, 90.00° and 120.00°. The distinct sites, in fractional coordinates, are Er at (0.0000, 0.0000, 0.1229), Mn at (0.0000, 0.0000, 0.5000) and Tc at (0.0000, 0.5000, 0.0000).

As for the total magnetization: 2.83 μB per formula unit. As for the calculated volume: 325.7 Å³/cell. The formation energy from the elements comes out at -0.182 eV/atom.



# 11
First-principles (GGA-PBE) data for a relaxed Er2MnTc crystal, as listed in Alexandria.

The structure belongs to space group Fm-3m (No. 225); the cell edges are 6.8948, 6.8948 and 6.8948 Å and the angles 90.00°, 90.00° and 90.00°. The distinct sites, in fractional coordinates, are Er at (0.2500, 0.2500, 0.2500), Mn at (0.0000, 0.0000, 0.0000) and Tc at (0.0000, 0.0000, 0.5000).

As for the total magnetization: 3.75 μB per formula unit. As for the calculated volume: 327.8 Å³/cell. The formation energy from the elements comes out at 0.084 eV/atom.



# 12
First-principles (GGA-PBE) data for a relaxed ErMn2Tc crystal, as listed in Alexandria.

The structure belongs to space group Pmma (No. 51); the cell edges are 5.2042, 5.1654 and 10.3564 Å and the angles 90.00°, 90.00° and 90.00°. The distinct sites, in fractional coordinates, are Er at (0.2500, 0.0000, 0.0943), Er at (0.2500, 0.5000, 0.3112), Mn at (0.0000, 0.0000, 0.5000), Mn at (0.0000, 0.5000, 0.0000), Mn at (0.2500, 0.3003, 0.5772), Tc at (0.2500, 0.0000, 0.7499) and Tc at (0.2500, 0.5000, 0.8187).

The polymorph energy (0 for the lowest one) comes out at 0.0 meV per atom. As for the total magnetization: 0.00 μB per formula unit. As for the calculated volume: 278.4 Å³/cell. The formation energy from the elements comes out at 0.392 eV/atom.



# 13
First-principles (GGA-PBE) data for a relaxed ErMnTc crystal, as listed in Alexandria.

The structure belongs to space group Imma (No. 74); the cell edges are 5.1409, 5.3785 and 7.5561 Å and the angles 90.00°, 90.00° and 90.00°. The distinct sites, in fractional coordinates, are Er at (0.0000, 0.2500, 0.1229), Mn at (0.0000, 0.0000, 0.5000) and Tc at (0.2500, 0.2500, 0.7500).

The polymorph energy (0 for the lowest one) comes out at 0.0 meV per atom. As for the total magnetization: 1.94 μB per formula unit. As for the calculated volume: 208.9 Å³/cell. The formation energy from the elements comes out at -0.106 eV/atom.



# 14
First-principles (GGA-PBE) data for a relaxed ErMnTc crystal, as listed in Alexandria.

The structure belongs to space group Cmcm (No. 63); the cell edges are 4.0132, 11.3240 and 4.6866 Å and the angles 90.00°, 90.00° and 90.00°. The distinct sites, in fractional coordinates, are Er at (0.0000, 0.0893, 0.2500), Mn at (0.0000, 0.2346, 0.7500) and Tc at (0.0000, 0.3732, 0.2500).

The polymorph energy (0 for the lowest one) comes out at 284.2 meV per atom. As for the total magnetization: 1.42 μB per formula unit. As for the calculated volume: 213.0 Å³/cell. The formation energy from the elements comes out at 0.179 eV/atom.



# 15
First-principles (GGA-PBE) data for a relaxed ErMn4Tc crystal, as listed in Alexandria.

The structure belongs to space group F-43m (No. 216); the cell edges are 6.9149, 6.9149 and 6.9149 Å and the angles 90.00°, 90.00° and 90.00°. The distinct sites, in fractional coordinates, are Er at (0.0000, 0.0000, 0.0000), Mn at (0.1247, 0.1247, 0.6247) and Tc at (0.2500, 0.2500, 0.2500).

As for the total magnetization: 3.81 μB per formula unit. As for the calculated volume: 330.6 Å³/cell. The formation energy from the elements comes out at 0.127 eV/atom.



# 16
First-principles (GGA-PBE) data for a relaxed ErMn3Tc3 crystal, as listed in Alexandria.

The structure belongs to space group Pm-3n (No. 223); the cell edges are 6.4072, 6.4072 and 6.4072 Å and the angles 90.00°, 90.00° and 90.00°. The distinct sites, in fractional coordinates, are Er at (0.0000, 0.0000, 0.0000), Mn at (0.0000, 0.2500, 0.5000) and Tc at (0.0000, 0.5000, 0.2500).

As for the total magnetization: 0.00 μB per formula unit. As for the calculated volume: 263.0 Å³/cell. The formation energy from the elements comes out at 0.754 eV/atom.



# 17
First-principles (GGA-PBE) data for a relaxed ErMn6Tc2 crystal, as listed in Alexandria.

The structure belongs to space group Immm (No. 71); the cell edges are 2.7799, 6.6308 and 13.2338 Å and the angles 90.00°, 90.00° and 90.00°. The distinct sites, in fractional coordinates, are Er at (0.0000, 0.0000, 0.0000), Mn at (0.0000, 0.1558, 0.5000), Mn at (0.0000, 0.3199, 0.3135) and Tc at (0.0000, 0.5000, 0.1430).

As for the total magnetization: 0.91 μB per formula unit. As for the calculated volume: 243.9 Å³/cell. The formation energy from the elements comes out at 0.327 eV/atom.



# 18
First-principles (GGA-PBE) data for a relaxed Er2MnTc crystal, as listed in Alexandria.

The structure belongs to space group P4/mmm (No. 123); the cell edges are 3.5045, 3.5045 and 6.7106 Å and the angles 90.00°, 90.00° and 90.00°. The distinct sites, in fractional coordinates, are Er at (0.0000, 0.0000, 0.2373), Mn at (0.5000, 0.5000, 0.5000) and Tc at (0.5000, 0.5000, 0.0000).

As for the total magnetization: 3.75 μB per formula unit. As for the calculated volume: 82.4 Å³/cell. The formation energy from the elements comes out at 0.086 eV/atom.



# 19
First-principles (GGA-PBE) data for a relaxed ErMn2Tc crystal, as listed in Alexandria.

The structure belongs to space group R-3m (No. 166, hexagonal axes); the cell edges are 2.9617, 2.9617 and 26.8892 Å and the angles 90.00°, 90.00° and 120.00°. The distinct sites, in fractional coordinates, are Er at (0.0000, 0.0000, 0.0000), Mn at (0.0000, 0.0000, 0.2393) and Tc at (0.0000, 0.0000, 0.5000).

The polymorph energy (0 for the lowest one) comes out at 115.4 meV per atom. As for the total magnetization: 5.59 μB per formula unit. As for the calculated volume: 204.3 Å³/cell. The formation energy from the elements comes out at 0.507 eV/atom.



# 20
First-principles (GGA-PBE) data for a relaxed ErTmMnTc crystal, as listed in Alexandria.

The structure belongs to space group F-43m (No. 216); the cell edges are 6.8781, 6.8781 and 6.8781 Å and the angles 90.00°, 90.00° and 90.00°. The distinct sites, in fractional coordinates, are Er at (0.0000, 0.0000, 0.0000), Tm at (0.0000, 0.0000, 0.5000), Mn at (0.2500, 0.2500, 0.7500) and Tc at (0.2500, 0.2500, 0.2500).

As for the total magnetization: 3.74 μB per formula unit. As for the calculated volume: 325.4 Å³/cell. The formation energy from the elements comes out at 0.072 eV/atom.



# 21
First-principles (GGA-PBE) data for a relaxed ErZrMnTc crystal, as listed in Alexandria.

The structure belongs to space group F-43m (No. 216); the cell edges are 6.7224, 6.7224 and 6.7224 Å and the angles 90.00°, 90.00° and 90.00°. The distinct sites, in fractional coordinates, are Er at (0.0000, 0.0000, 0.0000), Zr at (0.0000, 0.0000, 0.5000), Mn at (0.2500, 0.2500, 0.2500) and Tc at (0.2500, 0.2500, 0.7500).

As for the total magnetization: 2.81 μB per formula unit. As for the calculated volume: 303.8 Å³/cell. The formation energy from the elements comes out at -0.013 eV/atom.



# 22
First-principles (GGA-PBE) data for a relaxed ErMnTe2 crystal, as listed in Alexandria.

The structure belongs to space group R-3m (No. 166, hexagonal axes); the cell edges are 3.8998, 3.8998 and 27.5866 Å and the angles 90.00°, 90.00° and 120.00°. The distinct sites, in fractional coordinates, are Er at (0.0000, 0.0000, 0.0000), Mn at (0.0000, 0.0000, 0.5000) and Te at (0.0000, 0.0000, 0.1090).

The formation energy from raw total energies is -18.1 kJ per mole of atoms. As for the total magnetization: 4.05 μB per formula unit. As for the calculated volume: 363.3 Å³/cell.